[1]
{"formula": "Zr6CuHg3", "functional": "PBE", "state": "relaxed", "formation_enthalpy_0k_ev_per_atom": 0.122, "magmom_total_mub_per_fu": 0.0, "dos_ef_per_ev_fu": 12.28, "spacegroup": "C2/m", "lattice": [[5.1513, -2.9757, 0.0000], [5.1513, 2.9757, 0.0000], [-2.1829, 0.0000, 7.2757]], "species": ["Zr", "Zr", "Zr", "Zr", "Zr", "Zr", "Cu", "Hg", "Hg", "Hg"], "frac_coords": [[0.1059, 0.6149, 0.1788], [0.1376, 0.1376, 0.4203], [0.3851, 0.8941, 0.8212], [0.6149, 0.1059, 0.1788], [0.8624, 0.8624, 0.5797], [0.8941, 0.3851, 0.8212], [0.0000, 0.0000, 0.0000], [0.3790, 0.3790, 0.8045], [0.5000, 0.5000, 0.5000], [0.6210, 0.6210, 0.1955]]}

[2]
{"formula": "Rh5C", "functional": "PBE", "state": "relaxed", "formation_enthalpy_0k_ev_per_atom": 0.242, "magmom_total_mub_per_fu": 0.0, "dos_ef_per_ev_fu": 8.03, "spacegroup": "Cm", "de_polymorph_mev_per_atom": 0.0, "lattice": [[4.5409, -1.3617, 0.0000], [4.5409, 1.3617, 0.0000], [-1.6641, 0.0000, 6.3558]], "species": ["Rh", "Rh", "Rh", "Rh", "Rh", "C"], "frac_coords": [[0.0000, 0.0000, 0.0000], [0.0826, 0.0826, 0.4337], [0.3029, 0.3029, 0.2014], [0.3918, 0.3918, 0.6309], [0.6987, 0.6987, 0.8034], [0.6338, 0.6338, 0.2165]]}

[3]
{"formula": "Na3LiTl3I8", "functional": "PBE", "state": "relaxed", "raw_formation_energy_ev_per_fu": -13.2, "magmom_total_mub_per_fu": 0.0, "dos_ef_per_ev_fu": 10.09, "spacegroup": "R-3m", "lattice": [[4.6767, 2.7001, 7.8375], [-4.6767, 2.7001, 7.8375], [0.0000, -5.4002, 7.8375]], "species": ["Na", "Na", "Na", "Li", "Tl", "Tl", "Tl", "I", "I", "I", "I", "I", "I", "I", "I"], "frac_coords": [[0.0000, 0.5000, 0.5000], [0.5000, 0.0000, 0.5000], [0.5000, 0.5000, 0.0000], [0.0000, 0.0000, 0.0000], [0.0000, 0.0000, 0.5000], [0.0000, 0.5000, 0.0000], [0.5000, 0.0000, 0.0000], [0.2292, 0.2292, 0.7588], [0.2292, 0.7588, 0.2292], [0.2412, 0.7708, 0.7708], [0.2585, 0.2585, 0.2585], [0.7415, 0.7415, 0.7415], [0.7588, 0.2292, 0.2292], [0.7708, 0.2412, 0.7708], [0.7708, 0.7708, 0.2412]]}

[4]
{"formula": "BeCoP2S", "functional": "PBE", "state": "relaxed", "raw_formation_energy_ev_per_fu": 4.3, "magmom_total_mub_per_fu": 1.4, "dos_ef_per_ev_fu": 5.53, "spacegroup": "P4/mmm", "de_polymorph_mev_per_atom": 87.9, "lattice": [[4.0960, 0.0000, 0.0000], [0.0000, 4.0960, 0.0000], [0.0000, 0.0000, 4.4620]], "species": ["Be", "Co", "P", "P", "S"], "frac_coords": [[0.0000, 0.0000, 0.0000], [0.5000, 0.5000, 0.5000], [0.0000, 0.5000, 0.0000], [0.5000, 0.0000, 0.0000], [0.0000, 0.0000, 0.5000]]}

[5]
{"formula": "CaDy2TiO6", "functional": "PBE", "state": "relaxed", "raw_formation_energy_ev_per_fu": -31.2, "magmom_total_mub_per_fu": 0.0, "dos_ef_per_ev_fu": 0.00, "spacegroup": "P4mm", "lattice": [[5.3199, 0.0000, 0.0000], [0.0000, 5.3199, 0.0000], [0.0000, 0.0000, 5.2504]], "species": ["Ca", "Dy", "Dy", "Ti", "O", "O", "O", "O", "O", "O"], "frac_coords": [[0.0000, 0.0000, 0.0000], [0.0000, 0.5000, 0.4241], [0.5000, 0.0000, 0.4241], [0.5000, 0.5000, 0.0487], [0.0000, 0.0000, 0.5844], [0.2653, 0.2653, 0.1922], [0.2653, 0.7347, 0.1922], [0.5000, 0.5000, 0.6992], [0.7347, 0.2653, 0.1922], [0.7347, 0.7347, 0.1922]]}

[6]
{"formula": "Ho3ZrAl8", "functional": "PBE", "state": "relaxed", "formation_enthalpy_0k_ev_per_atom": -0.498, "magmom_total_mub_per_fu": 0.0, "dos_ef_per_ev_fu": 7.24, "spacegroup": "P3m1", "de_polymorph_mev_per_atom": 13.0, "lattice": [[5.4584, 0.0000, 0.0000], [-2.7292, 4.7271, 0.0000], [0.0000, 0.0000, 9.0617]], "species": ["Ho", "Ho", "Ho", "Zr", "Al", "Al", "Al", "Al", "Al", "Al", "Al", "Al"], "frac_coords": [[0.0000, 0.0000, 0.0000], [0.0000, 0.0000, 0.3674], [0.3333, 0.6667, 0.8630], [0.3333, 0.6667, 0.4998], [0.0087, 0.5043, 0.1871], [0.3258, 0.1629, 0.6764], [0.4957, 0.5043, 0.1871], [0.4957, 0.9913, 0.1871], [0.6667, 0.3333, 0.4320], [0.6667, 0.3333, 0.9305], [0.8371, 0.1629, 0.6764], [0.8371, 0.6742, 0.6764]]}

[7]
{"formula": "TmZrTl2", "functional": "PBE", "state": "relaxed", "formation_enthalpy_0k_ev_per_atom": -0.132, "magmom_total_mub_per_fu": 0.0, "dos_ef_per_ev_fu": 3.89, "spacegroup": "P4/mmm", "lattice": [[4.7749, 0.0000, 0.0000], [0.0000, 4.7749, 0.0000], [0.0000, 0.0000, 4.2958]], "species": ["Tm", "Zr", "Tl", "Tl"], "frac_coords": [[0.0000, 0.0000, 0.0000], [0.5000, 0.5000, 0.0000], [0.0000, 0.5000, 0.5000], [0.5000, 0.0000, 0.5000]]}

[8]
{"formula": "Cs2NaGa3Sn4", "functional": "PBE", "state": "relaxed", "formation_enthalpy_0k_ev_per_atom": -0.099, "magmom_total_mub_per_fu": 0.0, "dos_ef_per_ev_fu": 5.30, "spacegroup": "P-4m2", "lattice": [[5.1151, 0.0000, 0.0000], [0.0000, 5.1151, 0.0000], [0.0000, 0.0000, 11.8491]], "species": ["Cs", "Cs", "Na", "Ga", "Ga", "Ga", "Sn", "Sn", "Sn", "Sn"], "frac_coords": [[0.0000, 0.5000, 0.2482], [0.5000, 0.0000, 0.7518], [0.0000, 0.0000, 0.5000], [0.0000, 0.5000, 0.8746], [0.5000, 0.0000, 0.1254], [0.5000, 0.5000, 0.5000], [0.0000, 0.0000, 0.0000], [0.0000, 0.5000, 0.6376], [0.5000, 0.0000, 0.3624], [0.5000, 0.5000, 0.0000]]}